# 1
This record from Alexandria via LeMat-Bulk describes a geometry-optimized SrPm5Pb6 structure. The functional is GGA-PBE.

Values from the calculation:
excess energy over the best structure of this formula in the dataset = 15 meV per atom

Lattice parameters (Å, degrees): 9.2214 9.2214 6.3034 104.29 104.29 122.95
With the nearest neighbours (Å) after each atom.
Fractional coordinates of all 12 atoms:
Sr1 0.0000 0.0000 0.0000  6 Pb 3.34-3.48
Pm1 0.1514 0.8486 0.5000  6 Pb 3.29-3.37
Pm2 0.3238 0.6762 0.0000  6 Pb 3.24-3.32
Pm3 0.5000 0.5000 0.5000  6 Pb 3.29
Pm4 0.6762 0.3238 0.0000  6 Pb 3.24-3.32
Pm5 0.8486 0.1514 0.5000  6 Pb 3.29-3.37
Pb1 0.0980 0.4407 0.2817  5 Pm 3.24-3.37, 1 Sr 3.48, 1 Pb 3.54
Pb2 0.2807 0.2807 0.7934  5 Pm 3.29-3.31, 1 Sr 3.34, 1 Pb 3.36
Pb3 0.4407 0.0980 0.2817  5 Pm 3.24-3.37, 1 Sr 3.48, 1 Pb 3.54
Pb4 0.5593 0.9020 0.7183  5 Pm 3.24-3.37, 1 Sr 3.48, 1 Pb 3.54
Pb5 0.7193 0.7193 0.2066  5 Pm 3.29-3.31, 1 Sr 3.34, 1 Pb 3.36
Pb6 0.9020 0.5593 0.7183  5 Pm 3.24-3.37, 1 Sr 3.48, 1 Pb 3.54



# 2
This record from Alexandria via LeMat-Bulk describes a geometry-optimized SrPmPb2 structure. The functional is GGA-PBE.

Lattice parameters (Å, degrees): 3.6762 3.6762 9.4169 90.00 90.00 90.00
With the nearest neighbours (Å) after each atom.
Fractional coordinates of all 4 atoms:
Sr1 0.0000 0.0000 0.0000  8 Pb 3.57, 4 Sr 3.68
Pm1 0.0000 0.0000 0.5000  8 Pb 3.45, 4 Pm 3.68
Pb1 0.5000 0.5000 0.2597  4 Pm 3.45, 4 Sr 3.57, 4 Pb 3.68
Pb2 0.5000 0.5000 0.7403  4 Pm 3.45, 4 Sr 3.57, 4 Pb 3.68



# 3
This record from Alexandria via LeMat-Bulk describes a geometry-optimized SrPmTlPb structure. The functional is GGA-PBE.

Values from the calculation:
excess energy over the best structure of this formula in the dataset = 21 meV per atom

Lattice parameters (Å, degrees): 5.6593 5.6593 5.6593 60.00 60.00 60.00
With the nearest neighbours (Å) after each atom.
Fractional coordinates of all 4 atoms:
Sr1 0.0000 0.0000 0.0000  4 Tl 3.47, 4 Pb 3.47
Pm1 0.5000 0.5000 0.5000  4 Pb 3.47, 4 Tl 3.47
Tl1 0.2500 0.2500 0.2500  4 Pm 3.47, 4 Sr 3.47
Pb1 0.7500 0.7500 0.7500  4 Sr 3.47, 4 Pm 3.47



# 4
This record from Alexandria via LeMat-Bulk describes a geometry-optimized SrPmTlPb structure. The functional is GGA-PBE.

Values from the calculation:
excess energy over the best structure of this formula in the dataset = 0 meV per atom

Lattice parameters (Å, degrees): 4.0580 4.0580 7.8230 90.00 90.00 90.00
With the nearest neighbours (Å) after each atom.
Fractional coordinates of all 4 atoms:
Sr1 0.0000 0.0000 0.0000  4 Pb 3.55, 4 Tl 3.55, 2 Pm 3.90-3.92
Pm1 0.0000 0.0000 0.4983  4 Pb 3.39, 4 Tl 3.40
Tl1 0.5000 0.5000 0.7321  4 Pm 3.40, 4 Sr 3.55, 1 Pb 3.64
Pb1 0.5000 0.5000 0.2667  4 Pm 3.39, 4 Sr 3.55, 1 Tl 3.64



# 5
This record from Alexandria via LeMat-Bulk describes a geometry-optimized PmTaPb structure. The functional is GGA-PBE.

Lattice parameters (Å, degrees): 3.2420 4.0063 12.9715 81.22 82.83 90.00
With the nearest neighbours (Å) after each atom.
Fractional coordinates of all 6 atoms:
Pm1 0.1998 0.1979 0.1032  4 Ta 3.19-3.20, 2 Pm 3.24, 1 Pb 3.47
Pm2 0.8002 0.8021 0.8968  4 Ta 3.19-3.20, 2 Pm 3.24, 1 Pb 3.47
Ta1 0.3741 0.3756 0.7483  4 Pb 3.02-3.03, 4 Pm 3.19-3.20, 2 Ta 3.24
Ta2 0.6259 0.6244 0.2517  4 Pb 3.02-3.03, 4 Pm 3.19-3.20, 2 Ta 3.24
Pb1 0.0632 0.0630 0.3764  4 Ta 3.02-3.03, 3 Pb 3.14-3.24
Pb2 0.9368 0.9370 0.6236  4 Ta 3.02-3.03, 3 Pb 3.14-3.24



# 6
This record from Alexandria via LeMat-Bulk describes a geometry-optimized TbPm5Pb6 structure. The functional is GGA-PBE.

Values from the calculation:
excess energy over the best structure of this formula in the dataset = 0 meV per atom

Lattice parameters (Å, degrees): 9.2835 9.2835 9.2835 148.59 120.95 68.42
With the nearest neighbours (Å) after each atom.
Fractional coordinates of all 12 atoms:
Tb1 0.0000 0.0000 0.0000  8 Pb 3.39-3.42, 4 Pm 3.57
Pm1 0.1655 0.6655 0.5000  8 Pb 3.39-3.46, 2 Tb 3.57, 2 Pm 3.60
Pm2 0.3335 0.3335 0.0000  8 Pb 3.40-3.44, 4 Pm 3.58-3.60
Pm3 0.5000 0.0000 0.5000  8 Pb 3.41-3.43, 4 Pm 3.58
Pm4 0.6665 0.6665 0.0000  8 Pb 3.40-3.44, 4 Pm 3.58-3.60
Pm5 0.8345 0.3345 0.5000  8 Pb 3.39-3.46, 2 Tb 3.57, 2 Pm 3.60
Pb1 0.0832 0.8342 0.2490  7 Pm 3.39-3.46, 1 Tb 3.42, 4 Pb 3.58-3.61
Pb2 0.2481 0.5000 0.7481  2 Tb 3.39, 6 Pm 3.41-3.44, 4 Pb 3.58
Pb3 0.4149 0.1658 0.2490  7 Pm 3.39-3.46, 1 Tb 3.42, 4 Pb 3.58-3.61
Pb4 0.5851 0.8342 0.7510  7 Pm 3.39-3.46, 1 Tb 3.42, 4 Pb 3.58-3.61
Pb5 0.7519 0.5000 0.2519  2 Tb 3.39, 6 Pm 3.41-3.44, 4 Pb 3.58
Pb6 0.9168 0.1658 0.7510  7 Pm 3.39-3.46, 1 Tb 3.42, 4 Pb 3.58-3.61



# 7
This record from Alexandria via LeMat-Bulk describes a geometry-optimized TbPm2Pb3 structure. The functional is GGA-PBE.

Values from the calculation:
excess energy over the best structure of this formula in the dataset = 61 meV per atom

Lattice parameters (Å, degrees): 8.8048 8.8048 7.4620 102.16 102.16 42.70
With the nearest neighbours (Å) after each atom.
Fractional coordinates of all 12 atoms:
Tb1 0.0051 0.9949 0.7500  6 Pb 3.20-3.22
Tb2 0.9949 0.0051 0.2500  6 Pb 3.20-3.22
Pm1 0.3282 0.3370 0.4163  6 Pb 3.20-3.28
Pm2 0.3370 0.3282 0.9163  6 Pb 3.20-3.28
Pm3 0.6630 0.6718 0.0837  6 Pb 3.20-3.28
Pm4 0.6718 0.6630 0.5837  6 Pb 3.20-3.28
Pb1 0.1596 0.1688 0.0821  4 Pm 3.20-3.28, 2 Tb 3.22
Pb2 0.1688 0.1596 0.5821  4 Pm 3.20-3.28, 2 Tb 3.22
Pb3 0.4945 0.5055 0.2500  2 Tb 3.20-3.21, 4 Pm 3.26
Pb4 0.5055 0.4945 0.7500  2 Tb 3.20-3.21, 4 Pm 3.26
Pb5 0.8312 0.8404 0.4179  4 Pm 3.20-3.28, 2 Tb 3.22
Pb6 0.8404 0.8312 0.9179  4 Pm 3.20-3.28, 2 Tb 3.22



# 8
This record from Alexandria via LeMat-Bulk describes a geometry-optimized TbPm5Pb5 structure. The functional is GGA-PBE.

Lattice parameters (Å, degrees): 8.6616 8.6616 7.5474 102.94 102.94 43.26
With the nearest neighbours (Å) after each atom.
Fractional coordinates of all 11 atoms:
Tb1 0.0000 0.0000 0.0000  6 Pb 3.18-3.21
Pm1 0.0000 0.0000 0.5000  4 Pb 3.19-3.24
Pm2 0.3330 0.3330 0.6729  5 Pb 3.18-3.24
Pm3 0.3374 0.3374 0.1750  5 Pb 3.20-3.29
Pm4 0.6626 0.6626 0.8250  5 Pb 3.20-3.29
Pm5 0.6670 0.6670 0.3271  5 Pb 3.18-3.24
Pb1 0.1654 0.1654 0.3373  5 Pm 3.19-3.29, 1 Tb 3.21
Pb2 0.1662 0.1662 0.8417  1 Tb 3.18, 5 Pm 3.20-3.25
Pb3 0.5000 0.5000 0.0000  4 Pm 3.18-3.20, 2 Tb 3.19
Pb4 0.8338 0.8338 0.1583  1 Tb 3.18, 5 Pm 3.20-3.25
Pb5 0.8346 0.8346 0.6627  5 Pm 3.19-3.29, 1 Tb 3.21



# 9
This record from Alexandria via LeMat-Bulk describes a geometry-optimized Tb5Pm3Pb2 structure. The functional is GGA-PBE.

Lattice parameters (Å, degrees): 10.7035 10.7035 10.7035 105.95 84.72 144.81
With the nearest neighbours (Å) after each atom.
Fractional coordinates of all 20 atoms:
Tb1 0.1630 0.0997 0.2628  1 Pb 3.02, 2 Tb 3.30
Tb2 0.2500 0.0033 0.7533  3 Tb 3.18-3.24, 2 Pb 3.21, 1 Pm 3.27
Tb3 0.2500 0.2500 0.0000  8 Tb 3.18-3.30
Tb4 0.2500 0.4967 0.2467  3 Tb 3.18-3.24, 2 Pb 3.21, 1 Pm 3.27
Tb5 0.3370 0.5997 0.9367  1 Pb 3.02, 2 Tb 3.30
Tb6 0.6630 0.4003 0.0633  1 Pb 3.02, 2 Tb 3.30
Tb7 0.7500 0.5033 0.7533  3 Tb 3.18-3.24, 2 Pb 3.21, 1 Pm 3.27
Tb8 0.7500 0.7500 0.0000  8 Tb 3.18-3.30
Tb9 0.7500 0.9967 0.2467  3 Tb 3.18-3.24, 2 Pb 3.21, 1 Pm 3.27
Tb10 0.8370 0.9003 0.7372  1 Pb 3.02, 2 Tb 3.30
Pm1 0.2237 0.3739 0.5976  4 Tb 3.42-3.71, 4 Pb 3.45-3.63
Pm2 0.2500 0.7500 0.5000  2 Pm 3.24, 2 Tb 3.27, 4 Pb 3.38
Pm3 0.2763 0.8739 0.1502  4 Tb 3.42-3.71, 4 Pb 3.45-3.63
Pm4 0.7237 0.1261 0.8498  4 Tb 3.42-3.71, 4 Pb 3.45-3.63
Pm5 0.7500 0.2500 0.5000  2 Pm 3.24, 2 Tb 3.27, 4 Pb 3.38
Pm6 0.7763 0.6261 0.4024  4 Tb 3.42-3.71, 4 Pb 3.45-3.63
Pb1 0.1489 0.6404 0.7893  3 Tb 3.02-3.21, 2 Pm 3.38
Pb2 0.3511 0.1404 0.4915  3 Tb 3.02-3.21, 2 Pm 3.38
Pb3 0.6489 0.8596 0.5085  3 Tb 3.02-3.21, 2 Pm 3.38
Pb4 0.8511 0.3596 0.2107  3 Tb 3.02-3.21, 2 Pm 3.38



# 10
This record from Alexandria via LeMat-Bulk describes a geometry-optimized TbPm5Pb8 structure. The functional is GGA-PBE.

Lattice parameters (Å, degrees): 8.2768 8.2768 8.2768 108.11 108.11 112.22
With the nearest neighbours (Å) after each atom.
Fractional coordinates of all 14 atoms:
Tb1 0.0000 0.0000 0.0000  8 Pb 3.20-3.25
Pm1 0.0993 0.2581 0.6061  8 Pb 3.23-3.49
Pm2 0.2500 0.7500 0.5000  8 Pb 3.25-3.43
Pm3 0.5068 0.9007 0.1589  8 Pb 3.23-3.49
Pm4 0.6521 0.4932 0.3939  8 Pb 3.23-3.49
Pm5 0.7419 0.3479 0.8411  8 Pb 3.23-3.49
Pb1 0.0638 0.6576 0.7759  1 Tb 3.20, 5 Pm 3.25-3.33, 1 Pb 3.40
Pb2 0.2294 0.4591 0.0857  5 Pm 3.23-3.49, 1 Tb 3.25, 2 Pb 3.37-3.40
Pb3 0.3424 0.1183 0.4061  1 Tb 3.20, 5 Pm 3.25-3.33, 1 Pb 3.40
Pb4 0.3734 0.1437 0.9143  5 Pm 3.23-3.49, 1 Tb 3.25, 2 Pb 3.37-3.40
Pb5 0.5409 0.6266 0.7703  5 Pm 3.23-3.49, 1 Tb 3.25, 2 Pb 3.37-3.40
Pb6 0.7121 0.9362 0.5939  1 Tb 3.20, 5 Pm 3.25-3.33, 1 Pb 3.40
Pb7 0.8563 0.7706 0.2297  5 Pm 3.23-3.49, 1 Tb 3.25, 2 Pb 3.37-3.40
Pb8 0.8817 0.2879 0.2241  1 Tb 3.20, 5 Pm 3.25-3.33, 1 Pb 3.40



# 11
This record from Alexandria via LeMat-Bulk describes a geometry-optimized TbPm3Pb5 structure. The functional is GGA-PBE.

Lattice parameters (Å, degrees): 9.6905 9.6905 6.6124 90.00 90.00 120.00
With the nearest neighbours (Å) after each atom.
Fractional coordinates of all 18 atoms:
Tb1 0.0000 0.0000 0.0000  6 Pb 3.22, 2 Tb 3.31
Tb2 0.0000 0.0000 0.5000  6 Pb 3.22, 2 Tb 3.31
Pm1 0.0000 0.3812 0.2500  9 Pb 3.23-3.45
Pm2 0.0000 0.6188 0.7500  9 Pb 3.23-3.45
Pm3 0.3812 0.0000 0.2500  9 Pb 3.23-3.45
Pm4 0.3812 0.3812 0.7500  9 Pb 3.23-3.45
Pm5 0.6188 0.0000 0.7500  9 Pb 3.23-3.45
Pm6 0.6188 0.6188 0.2500  9 Pb 3.23-3.45
Pb1 0.0000 0.2854 0.7500  2 Tb 3.22, 5 Pm 3.23-3.43
Pb2 0.0000 0.7146 0.2500  2 Tb 3.22, 5 Pm 3.23-3.43
Pb3 0.2854 0.0000 0.7500  2 Tb 3.22, 5 Pm 3.23-3.43
Pb4 0.2854 0.2854 0.2500  2 Tb 3.22, 5 Pm 3.23-3.43
Pb5 0.3333 0.6667 0.0000  2 Pb 3.31, 6 Pm 3.45
Pb6 0.3333 0.6667 0.5000  2 Pb 3.31, 6 Pm 3.45
Pb7 0.6667 0.3333 0.0000  2 Pb 3.31, 6 Pm 3.45
Pb8 0.6667 0.3333 0.5000  2 Pb 3.31, 6 Pm 3.45
Pb9 0.7146 0.0000 0.2500  2 Tb 3.22, 5 Pm 3.23-3.43
Pb10 0.7146 0.7146 0.7500  2 Tb 3.22, 5 Pm 3.23-3.43



# 12
This record from Alexandria via LeMat-Bulk describes a geometry-optimized Tb2Pm3Pb2 structure. The functional is GGA-PBE.

Lattice parameters (Å, degrees): 6.3146 6.3146 8.5965 105.65 105.65 43.07
With the nearest neighbours (Å) after each atom.
Fractional coordinates of all 7 atoms:
Tb1 0.1250 0.1250 0.2684  3 Pb 3.20-3.44
Tb2 0.8750 0.8750 0.7316  3 Pb 3.20-3.44
Pm1 0.3689 0.3689 0.0618  3 Pb 3.35-3.37, 4 Pm 3.54-3.63, 2 Tb 3.68
Pm2 0.5000 0.5000 0.5000  4 Pb 3.22
Pm3 0.6311 0.6311 0.9382  3 Pb 3.35-3.37, 4 Pm 3.54-3.63, 2 Tb 3.68
Pb1 0.1796 0.1796 0.6835  3 Tb 3.20-3.44, 5 Pm 3.22-3.37
Pb2 0.8204 0.8204 0.3165  3 Tb 3.20-3.44, 5 Pm 3.22-3.37



Computed calculated volume (A^3/atom) in order:
32.09, 31.82, 32.04, 32.21, 27.53, 29.42, 31.84, 34.24, 32.99, 31.12, 29.88, 32.00
Computed DFT formation energy (eV/atom) in order:
-0.472, -0.510, -0.406, -0.428, 0.481, -0.495, -0.430, -0.325, 0.004, -0.381, -0.470, -0.314